Density functional theory data (PBE) for a geometry-optimized La2Tb2Pm5 structure.

```
La2Tb2Pm5
1.0
3.655 0.000 0.000
-1.824 7.965 0.000
-0.029 -2.489 10.689
La Tb Pm
2 2 5
Direct
0.166 0.332 0.223
0.834 0.668 0.777
0.499 0.999 0.335
0.501 0.001 0.665
0.165 0.329 0.555
0.165 0.331 0.888
0.500 0.000 0.000
0.835 0.669 0.112
0.835 0.671 0.445
```

Calculated values
The calculation puts the distance to the lowest polymorph of the same formula at 0.0 meV/atom. As for the formation energy: 20 meV per atom. The value obtained for the volume is 34.57 Å³ per atom. The calculation puts the total energy at -4.74 eV/atom.

Density functional theory data (PBE) for a geometry-optimized Y2ScRe structure.

```
Y2ScRe
1.0
1.684 0.972 10.125
-1.684 0.972 10.125
0.000 -1.945 10.125
Y Sc Re
2 1 1
Direct
0.000 0.000 0.000
0.230 0.230 0.230
0.764 0.764 0.764
0.493 0.493 0.493
```

Calculated values
The calculation puts the distance to the lowest polymorph of the same formula at 176.4 meV/atom. As for the formation energy: 281 meV per atom. The value obtained for the volume is 24.88 Å³ per atom. The calculation puts the total energy at -7.65 eV/atom.

Density functional theory data (PBE) for a geometry-optimized NaTl6Au structure.

```
NaTl6Au
1.0
4.985 0.000 0.000
0.000 4.173 5.450
0.000 -4.173 5.450
Na Tl Au
1 6 1
Direct
0.000 0.000 0.000
0.000 0.009 0.500
0.000 0.500 0.009
0.500 0.216 0.216
0.500 0.295 0.702
0.500 0.702 0.295
0.500 0.779 0.779
0.000 0.515 0.515
```

Calculated values
As for the formation energy: -35 meV per atom. The value obtained for the volume is 28.35 Å³ per atom. The calculation puts the total energy at -2.38 eV/atom.

Density functional theory data (PBE) for a geometry-optimized ScAl2PPd structure.

```
ScAl2PPd
1.0
4.563 0.000 0.000
0.000 4.563 0.000
0.000 0.000 4.770
Sc Al P Pd
1 2 1 1
Direct
0.000 0.000 0.000
0.000 0.500 0.500
0.500 0.000 0.500
0.000 0.000 0.500
0.500 0.500 0.000
```

Calculated values
The calculation puts the distance to the lowest polymorph of the same formula at 64.7 meV/atom. As for the formation energy: -19 meV per atom. The value obtained for the volume is 19.86 Å³ per atom. The calculation puts the total energy at -4.90 eV/atom.

Density functional theory data (PBE) for a geometry-optimized Cu3HgS structure.

```
Cu3HgS
1.0
4.824 0.000 0.000
0.000 4.824 0.000
0.000 0.000 4.824
Cu Hg S
3 1 1
Direct
0.000 0.000 0.500
0.000 0.500 0.000
0.500 0.000 0.000
0.000 0.000 0.000
0.500 0.500 0.500
```

Calculated values
The calculation puts the distance to the lowest polymorph of the same formula at 855.7 meV/atom. The value obtained for the volume is 22.45 Å³ per atom. The formation energy from raw total energies comes out at 1077 meV/atom. The calculation puts the total energy at -2.27 eV/atom.

Density functional theory data (PBE) for a geometry-optimized Mn3CdSe structure.

```
Mn3CdSe
1.0
5.013 0.000 0.000
0.000 5.013 0.000
0.000 0.000 5.013
Mn Cd Se
3 1 1
Direct
0.000 0.000 0.500
0.000 0.500 0.000
0.500 0.000 0.000
0.000 0.000 0.000
0.500 0.500 0.500
```

Calculated values
The calculation puts the distance to the lowest polymorph of the same formula at 620.7 meV/atom. The value obtained for the volume is 25.20 Å³ per atom. The formation energy from raw total energies comes out at 1098 meV/atom. The calculation puts the total energy at -5.28 eV/atom.